Here is an optimized crystal structure of CsBa2WO5 from Alexandria via LeMat-Bulk. Energies are from PBE with a Hubbard U.

Lattice parameters (Å, degrees): 7.238 7.238 7.238 146.96 124.47 66.15
Fractional coordinates of all 9 atoms:
Cs (0.000, 0.000, 0.000)
Ba (0.275, 0.775, 0.500)
Ba (0.725, 0.225, 0.500)
W (0.500, 0.500, 0.000)
O (0.172, 0.377, 0.795)
O (0.419, 0.623, 0.795)
O (0.500, 0.000, 0.500)
O (0.581, 0.377, 0.205)
O (0.828, 0.623, 0.205)

Values from the calculation:
SG = Immm
Calculated volume = 18.70 Å³/atom
VASP energy = -6.339 eV/atom